# 1
DFT (PBE) results for a relaxed structure of Tb5Dy4Tm3.

Computed properties:
As for the relative energy among the computed polymorphs: 222.2 meV/atom. The calculation puts the energy of formation from the pure elements at 240 meV per atom.

abc: 16.018 5.826 9.201
angles: 90.00 116.77 90.00
Space group C2/m (No. 12)
One atom of each set of equivalent atoms:
Tb (0.000, 0.000, 0.000) x2
Tb (0.074, 0.500, 0.703) x4
Tb (0.173, 0.500, 0.385) x4
Dy (0.080, 0.000, 0.439) x4
Dy (0.215, 0.000, 0.878) x4
Tm (0.000, 0.500, 0.000) x2
Tm (0.210, 0.000, 0.231) x4

---

# 2
DFT (PBE) results for a relaxed structure of Li3Sb2Pb.

Computed properties:
As for the relative energy among the computed polymorphs: 0.0 meV/atom. The calculation puts the formation energy (no corrections) at -384 meV per atom.

abc: 5.034 15.855 3.335
angles: 90.00 90.00 90.00
Space group Cmmm (No. 65)
One atom of each set of equivalent atoms:
Li (0.000, 0.000, 0.000) x2
Li (0.000, 0.310, 0.000) x4
Sb (0.000, 0.151, 0.500) x4
Pb (0.000, 0.500, 0.500) x2

---

# 3
DFT (PBE) results for a relaxed structure of W3AuBr.

Computed properties:
As for the relative energy among the computed polymorphs: 827.5 meV/atom. The calculation puts the formation energy (no corrections) at 2946 meV per atom.

abc: 4.936 4.936 4.936
angles: 90.00 90.00 90.00
Space group Pm-3m (No. 221)
One atom of each set of equivalent atoms:
W (0.000, 0.000, 0.500) x3
Au (0.000, 0.000, 0.000) x1
Br (0.500, 0.500, 0.500) x1

---

# 4
DFT (PBE) results for a relaxed structure of Nd3TeI3.

Computed properties:
The calculation puts the formation energy (no corrections) at -1223 meV per atom.

abc: 17.9353 17.9353 10.9950
angles: 90.00 90.00 120.00
Space group R32 (No. 155, hexagonal axes)
One atom of each set of equivalent atoms:
Nd (0.0000, 0.2614, 0.0000) x9
Nd (0.0000, 0.4885, 0.0000) x9
Nd (0.0758, 0.1630, 0.6511) x18
Te (0.0000, 0.0000, 0.5000) x3
Te (0.0000, 0.2502, 0.5000) x9
I (0.0000, 0.5070, 0.5000) x9
I (0.0000, 0.7428, 0.5000) x9
I (0.0786, 0.9144, 0.1576) x18

---

# 5
DFT (PBE) results for a relaxed structure of Al2ZnGeO6.

Computed properties:
The calculation puts the formation energy (no corrections) at -2196 meV per atom.

abc: 8.941 10.477 5.556
angles: 90.00 116.10 90.00
Space group C2/c (No. 15)
One atom of each set of equivalent atoms:
Al (0.133, 0.078, 0.180) x8
Zn (0.000, 0.390, 0.250) x4
Ge (0.000, 0.313, 0.750) x4
O (0.108, 0.245, 0.071) x8
O (0.118, 0.059, 0.485) x8
O (0.128, 0.418, 0.661) x8

---

# 6
DFT (PBE) results for a relaxed structure of Sr3SiNi.

Computed properties:
As for the relative energy among the computed polymorphs: 0.0 meV/atom. The calculation puts the formation energy (no corrections) at -54 meV per atom.

abc: 5.178 5.178 11.735
angles: 90.00 90.00 90.00
Space group I4mm (No. 107)
One atom of each set of equivalent atoms:
Sr (0.000, 0.000, 0.000) x2
Sr (0.000, 0.500, 0.255) x4
Si (0.000, 0.000, 0.423) x2
Ni (0.000, 0.000, 0.611) x2

---

# 7
DFT (PBE) results for a relaxed structure of RbMgNpSe3.

Computed properties:
The calculation puts the formation energy (no corrections) at -1213 meV per atom.

abc: 9.372 4.319 10.273
angles: 90.00 108.21 90.00
Space group P2_1/m (No. 11)
One atom of each set of equivalent atoms:
Rb (0.208, 0.250, 0.231) x2
Mg (0.088, 0.250, 0.610) x2
Np (0.332, 0.750, 0.861) x2
Se (0.119, 0.250, 0.864) x2
Se (0.200, 0.750, 0.539) x2
Se (0.468, 0.750, 0.154) x2

---

# 8
DFT (PBE) results for a relaxed structure of PmDy4Tl.

Computed properties:
As for the relative energy among the computed polymorphs: 0.0 meV/atom. The calculation puts the energy of formation from the pure elements at -104 meV per atom.

abc: 3.602 3.602 14.286
angles: 90.00 90.00 90.00
Space group P4/mmm (No. 123)
One atom of each set of equivalent atoms:
Pm (0.000, 0.000, 0.000) x1
Dy (0.000, 0.000, 0.352) x2
Dy (0.500, 0.500, 0.178) x2
Tl (0.500, 0.500, 0.500) x1

---

# 9
DFT (PBE) results for a relaxed structure of YMg9Pt2.

Computed properties:
The calculation puts the energy of formation from the pure elements at -361 meV per atom.

abc: 11.626 11.626 7.481
angles: 90.00 90.00 90.00
Space group I4_1/amd (No. 141, origin choice 2)
One atom of each set of equivalent atoms:
Y (0.000, 0.250, 0.375) x4
Mg (0.000, 0.250, 0.875) x4
Mg (0.122, 0.054, 0.687) x32
Pt (0.000, 0.000, 0.000) x8

---

# 10
DFT (PBE) results for a relaxed structure of Er2Si3Pd.

Computed properties:
The calculation puts the formation energy (no corrections) at -831 meV per atom.

abc: 4.164 7.873 6.997
angles: 90.00 90.00 90.00
Space group Imm2 (No. 44)
One atom of each set of equivalent atoms:
Er (0.000, 0.248, 0.000) x4
Si (0.000, 0.000, 0.331) x2
Si (0.000, 0.500, 0.333) x2
Si (0.000, 0.500, 0.667) x2
Pd (0.000, 0.000, 0.666) x2